Compound: SrTl3Fe2F9
Source: Alexandria via LeMat-Bulk
Functional: PBE+U
Structure: relaxed

Structure (extended XYZ):
```
15
Lattice="6.228 0.000 0.000 -3.114 5.394 0.000 0.000 0.000 7.735" Properties=species:S:1:pos:R:3 pbc="T T T"
Fe 0.000 3.596 1.222
Tl 0.000 3.596 5.510
F -1.557 2.697 0.000
F 1.612 0.931 5.393
F 0.000 1.862 2.342
Tl 3.114 1.798 2.225
F 3.114 0.000 0.000
F 1.502 4.463 2.342
F 3.114 3.532 5.393
F 4.616 0.931 5.393
F 1.557 2.697 0.000
Tl 0.000 0.000 0.000
F -1.502 4.463 2.342
Sr 0.000 0.000 3.868
Fe 3.114 1.798 6.513
```

Output
N(E_F)   0.000 states/eV per atom
VASP energy   -4.927 eV per atom
SG   No. 164
ρ   6285 kg/m³